Record 1
A plane-wave DFT calculation with PBE was carried out for crystalline Y5CoSe4 at its relaxed geometry.

Computed properties:
**Size of the total moment**: 0.00 μB per cell

a = 5.8165 Å, b = 7.0690 Å, c = 7.0690 Å
α = 80.26°, β = 65.71°, γ = 65.71°
Fractional coordinates of all 10 atoms:
Y1 0.5012 0.0000 0.0000
Y2 0.7286 0.1793 0.3655
Y3 0.0941 0.6345 0.1793
Y4 0.9079 0.3655 0.8207
Y5 0.2734 0.8207 0.6345
Se1 0.1940 0.2147 0.3992
Se2 0.8080 0.7853 0.6008
Se3 0.5933 0.6008 0.2147
Se4 0.4088 0.3992 0.7853
Co1 0.0011 0.0000 0.0000

=====

Record 2
A plane-wave DFT calculation with PBE was carried out for crystalline Y3CoSe at its relaxed geometry.

Computed properties:
**Size of the total moment**: 0.00 μB per cell

a = 3.8110 Å, b = 6.0356 Å, c = 10.7152 Å
α = 97.21°, β = 100.24°, γ = 90.00°
Fractional coordinates of all 10 atoms:
Y1 0.0012 0.7524 0.0024
Y2 0.9988 0.2476 0.9976
Y3 0.1933 0.6143 0.3866
Y4 0.8067 0.3857 0.6134
Y5 0.6390 0.0744 0.2781
Y6 0.3610 0.9256 0.7219
Se1 0.5849 0.5336 0.1699
Se2 0.4151 0.4664 0.8301
Co1 0.2380 0.1073 0.4759
Co2 0.7620 0.8927 0.5241

=====

Record 3
A plane-wave DFT calculation with PBE was carried out for crystalline Y3CoSe2 at its relaxed geometry.

Computed properties:
**Size of the total moment**: 0.00 μB per cell

a = 3.8951 Å, b = 5.7803 Å, c = 7.1995 Å
α = 113.67°, β = 105.69°, γ = 90.00°
Fractional coordinates of all 6 atoms:
Co1 0.0000 0.5000 0.0000
Y1 0.3540 0.3540 0.7081
Y2 0.6460 0.6460 0.2919
Y3 0.0000 0.0000 0.0000
Se1 0.3256 0.8256 0.6513
Se2 0.6744 0.1744 0.3487

=====

Taking the records one at a time from the top gives formation energy (no corrections) values of -1.44, -0.72, -1.16 eV per atom.
Taking the records one at a time from the top gives electronic total energy values of -6.778, -6.721, -6.740 eV/atom.